Entry one
A plane-wave DFT calculation with GGA-PBE was carried out for a geometry-optimized ZrTc2Cl structure.

The total moment is 0.00 μB/f.u.

The space group is R3m (No. 160, hexagonal axes) and the conventional cell measures 3.0539, 3.0539 and 26.9726 Å, with angles of 90.00, 90.00 and 120.00 degrees. The distinct sites, in fractional coordinates, are Zr at (0.0000, 0.0000, 0.0000), Tc at (0.0000, 0.0000, 0.4899), Tc at (0.0000, 0.0000, 0.7573) and Cl at (0.0000, 0.0000, 0.2616).

Entry two
A plane-wave DFT calculation with GGA-PBE was carried out for a geometry-optimized ZrTc2Cl structure.

The total moment is 0.00 μB/f.u.

The space group is I-42d (No. 122) and the conventional cell measures 7.293, 7.293 and 5.164 Å, with angles of 90.00, 90.00 and 90.00 degrees. The distinct sites, in fractional coordinates, are Zr at (0.000, 0.000, 0.000), Tc at (0.169, 0.250, 0.625) and Cl at (0.000, 0.000, 0.500).

It is entry one that is the most stable of them.

Entry one
A plane-wave DFT calculation with GGA-PBE was carried out for a geometry-optimized ZrTc2Cl structure.

The total moment is 0.00 μB/f.u.

The space group is P4mm (No. 99) and the conventional cell measures 3.037, 3.037 and 7.992 Å, with angles of 90.00, 90.00 and 90.00 degrees. The distinct sites, in fractional coordinates, are Zr at (0.000, 0.000, 0.000), Tc at (0.000, 0.000, 0.569), Tc at (0.500, 0.500, 0.739) and Cl at (0.500, 0.500, 0.220).

Entry two
A plane-wave DFT calculation with GGA-PBE was carried out for a geometry-optimized ZrTc2Cl structure.

The total moment is 0.00 μB/f.u.

The space group is Fm-3m (No. 225) and the conventional cell measures 6.440, 6.440 and 6.440 Å, with angles of 90.00, 90.00 and 90.00 degrees. The distinct sites, in fractional coordinates, are Zr at (0.000, 0.000, 0.000), Tc at (0.250, 0.250, 0.250) and Cl at (0.000, 0.000, 0.500).

Entry three
A plane-wave DFT calculation with GGA-PBE was carried out for a geometry-optimized ZrTc2Cl structure.

The total moment is 0.00 μB/f.u.

The space group is I4/mmm (No. 139) and the conventional cell measures 3.597, 3.597 and 10.655 Å, with angles of 90.00, 90.00 and 90.00 degrees. The distinct sites, in fractional coordinates, are Zr at (0.000, 0.000, 0.000), Tc at (0.000, 0.500, 0.250) and Cl at (0.000, 0.000, 0.500).

Entry four
A plane-wave DFT calculation with GGA-PBE was carried out for a geometry-optimized ZrTc2Cl structure.

The total moment is 0.00 μB/f.u.

The space group is Imm2 (No. 44) and the conventional cell measures 3.059, 4.685 and 9.166 Å, with angles of 90.00, 90.00 and 90.00 degrees. The distinct sites, in fractional coordinates, are Zr at (0.000, 0.000, 0.000), Tc at (0.000, 0.000, 0.471), Tc at (0.000, 0.500, 0.207) and Cl at (0.000, 0.500, 0.741).

It is entry one that is the most stable of them.

Entry one
A plane-wave DFT calculation with GGA-PBE was carried out for a geometry-optimized ZrTc2Cl structure.

The total moment is 0.57 μB/f.u.

The space group is I-4m2 (No. 119) and the conventional cell measures 3.856, 3.856 and 8.898 Å, with angles of 90.00, 90.00 and 90.00 degrees. The distinct sites, in fractional coordinates, are Zr at (0.000, 0.000, 0.000), Tc at (0.000, 0.000, 0.500), Tc at (0.000, 0.500, 0.250) and Cl at (0.000, 0.500, 0.750).

Entry two
A plane-wave DFT calculation with GGA-PBE was carried out for a geometry-optimized ZrTc2Cl structure.

The total moment is 0.00 μB/f.u.

The space group is Pmmm (No. 47) and the conventional cell measures 3.131, 4.097 and 5.328 Å, with angles of 90.00, 90.00 and 90.00 degrees. The distinct sites, in fractional coordinates, are Zr at (0.000, 0.000, 0.000), Tc at (0.000, 0.500, 0.500), Tc at (0.500, 0.000, 0.500) and Cl at (0.500, 0.500, 0.000).

It is entry two that is the most stable of them.

Entry one
A plane-wave DFT calculation with GGA-PBE was carried out for a geometry-optimized ZrTc2Cl structure.

The total moment is 0.00 μB/f.u.

The space group is Cmmm (No. 65) and the conventional cell measures 3.201, 4.993 and 8.614 Å, with angles of 90.00, 90.00 and 90.00 degrees. The distinct sites, in fractional coordinates, are Zr at (0.000, 0.000, 0.000), Tc at (0.000, 0.500, 0.251) and Cl at (0.000, 0.000, 0.500).

Entry two
A plane-wave DFT calculation with GGA-PBE was carried out for a geometry-optimized ZrTc2Cl structure.

The total moment is 0.00 μB/f.u.

The space group is Amm2 (No. 38) and the conventional cell measures 3.025, 3.054 and 15.181 Å, with angles of 90.00, 90.00 and 90.00 degrees. The distinct sites, in fractional coordinates, are Zr at (0.000, 0.000, 0.000), Tc at (0.000, 0.000, 0.226), Tc at (0.500, 0.000, 0.634) and Cl at (0.500, 0.000, 0.380).

It is entry two that is the most stable of them.